Entry 1:
Compound: PrMgGa
Source: OQMD
Functional: GGA-PBE
Structure: relaxed

abc: 5.0174 5.0174 5.0174
angles: 60.00 60.00 60.00
Fractional positions:
Ga: 0.2500 0.2500 0.2500
Mg: 0.7500 0.7500 0.7500
Pr: 0.0000 0.0000 0.0000

Properties
Size of the total moment (Bohr magnetons per cell): 0.00
Polymorph energy (0 for the lowest one) (meV/atom): 653
SG: F-43m, No. 216

***

Entry 2:
Compound: Na4CdSn2Ir
Source: OQMD
Functional: GGA-PBE
Structure: relaxed

abc: 4.9107 4.9107 7.1348
angles: 90.00 90.00 90.00
Fractional positions:
Cd: 0.0000 0.0000 0.0000
Ir: 0.5000 0.5000 0.5000
Na: 0.5000 0.5000 0.0000
Na: 0.5000 0.0000 0.2583
Na: 0.0000 0.0000 0.5000
Na: 0.0000 0.5000 0.7417
Sn: 0.0000 0.5000 0.2854
Sn: 0.5000 0.0000 0.7146

Properties
Size of the total moment (Bohr magnetons per cell): 0.00
Calculated total energy (eV per atom): -2.940
SG: P-4m2, No. 115

***

Entry 3:
Compound: Pr2PbS3
Source: OQMD
Functional: GGA-PBE
Structure: relaxed

abc: 4.1333 4.1333 10.3146
angles: 90.00 90.00 120.00
Fractional positions:
Pb: 0.0000 0.0000 0.5000
Pr: 0.3333 0.6667 0.1503
Pr: 0.6667 0.3333 0.8497
S: 0.0000 0.0000 0.0000
S: 0.6667 0.3333 0.3253
S: 0.3333 0.6667 0.6747

Properties
Size of the total moment (Bohr magnetons per cell): 0.00
Calculated total energy (eV per atom): -5.760
SG: P-3m1, No. 164

***

Entry 4:
Compound: ZnAu7
Source: OQMD
Functional: GGA-PBE
Structure: relaxed

abc: 2.9108 4.1205 37.1289
angles: 90.00 90.00 90.00
Fractional positions:
Au: 0.5000 0.5000 0.2287
Au: 0.0000 0.0000 0.2786
Au: 0.5000 0.5000 0.3174
Au: 0.0000 0.0000 0.3588
Au: 0.5000 0.5000 0.3990
Au: 0.0000 0.0000 0.4396
Au: 0.5000 0.5000 0.4797
Au: 0.0000 0.0000 0.5203
Au: 0.5000 0.5000 0.5604
Au: 0.0000 0.0000 0.6010
Au: 0.5000 0.5000 0.6412
Au: 0.0000 0.0000 0.6826
Au: 0.5000 0.5000 0.7214
Au: 0.0000 0.0000 0.7713
Zn: 0.0000 0.0000 0.2062
Zn: 0.5000 0.5000 0.7938

Properties
Formation energy from the elements (meV/atom): 20
SG: Pmmn, No. 59

***

Entry 5:
Compound: TaBeFeSn
Source: OQMD
Functional: GGA-PBE
Structure: relaxed

abc: 4.3302 4.3302 4.3302
angles: 60.00 60.00 60.00
Fractional positions:
Be: 0.2500 0.2500 0.2500
Fe: 0.7500 0.7500 0.7500
Sn: 0.0000 0.0000 0.0000
Ta: 0.5000 0.5000 0.5000

Properties
Size of the total moment (Bohr magnetons per cell): 0.95
Polymorph energy (0 for the lowest one) (meV/atom): 0
SG: F-43m, No. 216